Entry from the Alexandria database: a relaxed structure of Sc4CoAu (PBE).

a b c (Å): 4.4741 4.4741 6.5642
angles (deg): 90.00 90.00 90.00
Space group P4/mmm (No. 123)
Inequivalent atoms, fractional coordinates:
1 Sc 0.0000 0.5000 0.2274 (multiplicity 4)
2 Co 0.0000 0.0000 0.0000 (multiplicity 1)
3 Au 0.5000 0.5000 0.5000 (multiplicity 1)

Properties
**Formation energy from the elements**: -0.27 eV per atom
**ΔE to the lowest computed polymorph**: 96 kJ/mol of formula units